# CeScZnPb, optimized geometry, DFT PBE
# M_tot: 4.14 Bohr magnetons per cell
# calculated volume: 24.61 A^3/atom
# energy relative to the elements: -0.28 eV per atom
# uncorrected energy: -18.369 eV/f.u.
data_CeScZnPb
_chemical_formula_sum 'Ce4 Sc4 Zn4 Pb4'
_cell_length_a 7.330
_cell_length_b 7.330
_cell_length_c 7.330
_cell_angle_alpha 90.00
_cell_angle_beta 90.00
_cell_angle_gamma 90.00
_symmetry_space_group_name_H-M 'F -4 3 m'
_symmetry_Int_Tables_number 216
_symmetry_space_group_name_Hall 'F -4 2 3'
loop_
_atom_site_label
_atom_site_type_symbol
_atom_site_fract_x
_atom_site_fract_y
_atom_site_fract_z
Ce1 Ce 0.000 0.000 0.000
Sc1 Sc 0.000 0.000 0.500
Zn1 Zn 0.250 0.250 0.250
Pb1 Pb 0.250 0.250 0.750

# CePbSe3, optimized geometry, DFT PBE
# M_tot: 0.00 Bohr magnetons per cell
# calculated volume: 37.76 A^3/atom
# energy relative to the lowest polymorph listed for this composition: 53 meV per atom
# uncorrected energy: -25.267 eV/f.u.
data_CePbSe3
_chemical_formula_sum 'Ce1 Pb1 Se3'
_cell_length_a 7.4977
_cell_length_b 7.4977
_cell_length_c 3.8782
_cell_angle_alpha 90.00
_cell_angle_beta 90.00
_cell_angle_gamma 120.00
_symmetry_space_group_name_H-M 'P -6'
_symmetry_Int_Tables_number 174
_symmetry_space_group_name_Hall 'P -6'
loop_
_atom_site_label
_atom_site_type_symbol
_atom_site_fract_x
_atom_site_fract_y
_atom_site_fract_z
Ce1 Ce 0.0000 0.0000 0.0000
Pb1 Pb 0.3333 0.6667 0.0000
Se1 Se 0.0652 0.3114 0.5000

# Ce3Pb5Se12, optimized geometry, DFT PBE
# M_tot: 8.37 Bohr magnetons per cell
# calculated volume: 31.67 A^3/atom
# uncorrected energy: -94.689 eV/f.u.
data_Ce3Pb5Se12
_chemical_formula_sum 'Ce24 Pb40 Se96'
_cell_length_a 17.175
_cell_length_b 17.175
_cell_length_c 17.175
_cell_angle_alpha 90.00
_cell_angle_beta 90.00
_cell_angle_gamma 90.00
_symmetry_space_group_name_H-M 'I a -3 d'
_symmetry_Int_Tables_number 230
_symmetry_space_group_name_Hall '-I 4bd 2c 3'
loop_
_atom_site_label
_atom_site_type_symbol
_atom_site_fract_x
_atom_site_fract_y
_atom_site_fract_z
Ce1 Ce 0.000 0.250 0.125
Pb1 Pb 0.000 0.000 0.000
Pb2 Pb 0.000 0.250 0.375
Se1 Se 0.013 0.073 0.656

# CePbSe3, optimized geometry, DFT PBE
# M_tot: 0.00 Bohr magnetons per cell
# calculated volume: 34.01 A^3/atom
# energy relative to the lowest polymorph listed for this composition: 0 meV per atom
# uncorrected energy: -25.531 eV/f.u.
data_CePbSe3
_chemical_formula_sum 'Ce4 Pb4 Se12'
_cell_length_a 14.724
_cell_length_b 5.506
_cell_length_c 8.447
_cell_angle_alpha 90.00
_cell_angle_beta 96.68
_cell_angle_gamma 90.00
_symmetry_space_group_name_H-M 'C 1 2/m 1'
_symmetry_Int_Tables_number 12
_symmetry_space_group_name_Hall '-C 2y'
loop_
_atom_site_label
_atom_site_type_symbol
_atom_site_fract_x
_atom_site_fract_y
_atom_site_fract_z
Ce1 Ce 0.132 0.000 0.414
Pb1 Pb 0.141 0.500 0.850
Se1 Se 0.055 0.000 0.708
Se2 Se 0.166 0.000 0.095
Se3 Se 0.168 0.500 0.494

# Ce2PbSe4, optimized geometry, DFT PBE
# M_tot: 8.01 Bohr magnetons per cell
# calculated volume: 26.52 A^3/atom
# energy relative to the lowest polymorph listed for this composition: 0 meV per atom
# uncorrected energy: -39.517 eV/f.u.
data_Ce2PbSe4
_chemical_formula_sum 'Ce8 Pb4 Se16'
_cell_length_a 9.059
_cell_length_b 9.059
_cell_length_c 9.047
_cell_angle_alpha 90.00
_cell_angle_beta 90.00
_cell_angle_gamma 90.00
_symmetry_space_group_name_H-M 'I -4 2 d'
_symmetry_Int_Tables_number 122
_symmetry_space_group_name_Hall 'I -4 2bw'
loop_
_atom_site_label
_atom_site_type_symbol
_atom_site_fract_x
_atom_site_fract_y
_atom_site_fract_z
Ce1 Ce 0.134 0.750 0.125
Pb1 Pb 0.000 0.000 0.500
Se1 Se 0.076 0.672 0.442

# Ce2PbSe4, optimized geometry, DFT PBE
# M_tot: 8.03 Bohr magnetons per cell
# calculated volume: 30.45 A^3/atom
# energy relative to the lowest polymorph listed for this composition: 29 meV per atom
# uncorrected energy: -39.314 eV/f.u.
data_Ce2PbSe4
_chemical_formula_sum 'Ce8 Pb4 Se16'
_cell_length_a 4.232
_cell_length_b 13.977
_cell_length_c 14.413
_cell_angle_alpha 90.00
_cell_angle_beta 90.00
_cell_angle_gamma 90.00
_symmetry_space_group_name_H-M 'C m c m'
_symmetry_Int_Tables_number 63
_symmetry_space_group_name_Hall '-C 2c 2'
loop_
_atom_site_label
_atom_site_type_symbol
_atom_site_fract_x
_atom_site_fract_y
_atom_site_fract_z
Ce1 Ce 0.000 0.133 0.068
Pb1 Pb 0.000 0.389 0.250
Se1 Se 0.000 0.038 0.250
Se2 Se 0.000 0.230 0.616
Se3 Se 0.000 0.500 0.000

# Ce2Pb2Se7, optimized geometry, DFT PBE
# M_tot: 0.00 Bohr magnetons per cell
# calculated volume: 30.78 A^3/atom
# uncorrected energy: -53.682 eV/f.u.
data_Ce2Pb2Se7
_chemical_formula_sum 'Ce4 Pb4 Se14'
_cell_length_a 8.843
_cell_length_b 10.210
_cell_length_c 7.500
_cell_angle_alpha 90.00
_cell_angle_beta 90.00
_cell_angle_gamma 90.00
_symmetry_space_group_name_H-M 'C m m m'
_symmetry_Int_Tables_number 65
_symmetry_space_group_name_Hall '-C 2 2'
loop_
_atom_site_label
_atom_site_type_symbol
_atom_site_fract_x
_atom_site_fract_y
_atom_site_fract_z
Ce1 Ce 0.000 0.229 0.000
Pb1 Pb 0.242 0.500 0.500
Se1 Se 0.000 0.000 0.249
Se2 Se 0.000 0.500 0.000
Se3 Se 0.250 0.250 0.252

# Ce6PbSe12, optimized geometry, DFT PBE
# M_tot: 6.78 Bohr magnetons per cell
# calculated volume: 30.04 A^3/atom
# uncorrected energy: -110.288 eV/f.u.
data_Ce6PbSe12
_chemical_formula_sum 'Ce18 Pb3 Se36'
_cell_length_a 13.0194
_cell_length_b 13.0194
_cell_length_c 11.6647
_cell_angle_alpha 90.00
_cell_angle_beta 90.00
_cell_angle_gamma 120.00
_symmetry_space_group_name_H-M 'R -3'
_symmetry_Int_Tables_number 148
_symmetry_space_group_name_Hall '-R 3'
loop_
_atom_site_label
_atom_site_type_symbol
_atom_site_fract_x
_atom_site_fract_y
_atom_site_fract_z
Ce1 Ce 0.0488 0.2653 0.1481
Pb1 Pb 0.0000 0.0000 0.5000
Se1 Se 0.0361 0.2173 0.8938
Se2 Se 0.0497 0.2231 0.3916

# Ce6Te3Pb2Se, optimized geometry, DFT PBE
# M_tot: 12.07 Bohr magnetons per cell
# calculated volume: 31.73 A^3/atom
# uncorrected energy: -69.131 eV/f.u.
data_Ce6Te3Pb2Se
_chemical_formula_sum 'Ce12 Te6 Pb4 Se2'
_cell_length_a 19.513
_cell_length_b 4.500
_cell_length_c 8.916
_cell_angle_alpha 90.00
_cell_angle_beta 103.41
_cell_angle_gamma 90.00
_symmetry_space_group_name_H-M 'C 1 2/m 1'
_symmetry_Int_Tables_number 12
_symmetry_space_group_name_Hall '-C 2y'
loop_
_atom_site_label
_atom_site_type_symbol
_atom_site_fract_x
_atom_site_fract_y
_atom_site_fract_z
Ce1 Ce 0.002 0.000 0.267
Ce2 Ce 0.159 0.500 0.577
Ce3 Ce 0.167 0.500 0.083
Te1 Te 0.000 0.500 0.000
Te2 Te 0.170 0.000 0.334
Pb1 Pb 0.165 0.000 0.830
Se1 Se 0.000 0.500 0.500

# Ce4TePbSe2, optimized geometry, DFT PBE
# M_tot: 15.66 Bohr magnetons per cell
# calculated volume: 29.44 A^3/atom
# uncorrected energy: -48.205 eV/f.u.
data_Ce4TePbSe2
_chemical_formula_sum 'Ce16 Te4 Pb4 Se8'
_cell_length_a 8.700
_cell_length_b 8.768
_cell_length_c 12.350
_cell_angle_alpha 90.00
_cell_angle_beta 90.00
_cell_angle_gamma 90.00
_symmetry_space_group_name_H-M 'I m m a'
_symmetry_Int_Tables_number 74
_symmetry_space_group_name_Hall '-I 2b 2'
loop_
_atom_site_label
_atom_site_type_symbol
_atom_site_fract_x
_atom_site_fract_y
_atom_site_fract_z
Ce1 Ce 0.000 0.015 0.242
Ce2 Ce 0.235 0.250 0.007
Te1 Te 0.250 0.250 0.750
Pb1 Pb 0.000 0.000 0.500
Se1 Se 0.000 0.000 0.000
Se2 Se 0.250 0.250 0.250

# Ce4TePb2Se, optimized geometry, DFT PBE
# M_tot: 3.36 Bohr magnetons per cell
# calculated volume: 31.40 A^3/atom
# uncorrected energy: -45.344 eV/f.u.
data_Ce4TePb2Se
_chemical_formula_sum 'Ce4 Te1 Pb2 Se1'
_cell_length_a 7.646
_cell_length_b 4.483
_cell_length_c 7.787
_cell_angle_alpha 90.00
_cell_angle_beta 109.72
_cell_angle_gamma 90.00
_symmetry_space_group_name_H-M 'P 1 2/m 1'
_symmetry_Int_Tables_number 10
_symmetry_space_group_name_Hall '-P 2y'
loop_
_atom_site_label
_atom_site_type_symbol
_atom_site_fract_x
_atom_site_fract_y
_atom_site_fract_z
Ce1 Ce 0.237 0.000 0.237
Ce2 Ce 0.243 0.500 0.756
Te1 Te 0.000 0.000 0.500
Pb1 Pb 0.500 0.000 0.000
Pb2 Pb 0.500 0.500 0.500
Se1 Se 0.000 0.500 0.000

# Ce2Tl3PbSe6, optimized geometry, DFT PBE
# M_tot: 2.05 Bohr magnetons per cell
# calculated volume: 31.43 A^3/atom
# uncorrected energy: -56.711 eV/f.u.
data_Ce2Tl3PbSe6
_chemical_formula_sum 'Ce4 Tl6 Pb2 Se12'
_cell_length_a 7.551
_cell_length_b 13.047
_cell_length_c 8.053
_cell_angle_alpha 90.00
_cell_angle_beta 108.07
_cell_angle_gamma 90.00
_symmetry_space_group_name_H-M 'C 1 2/m 1'
_symmetry_Int_Tables_number 12
_symmetry_space_group_name_Hall '-C 2y'
loop_
_atom_site_label
_atom_site_type_symbol
_atom_site_fract_x
_atom_site_fract_y
_atom_site_fract_z
Ce1 Ce 0.000 0.167 0.000
Tl1 Tl 0.000 0.000 0.500
Tl2 Tl 0.000 0.337 0.500
Pb1 Pb 0.000 0.500 0.000
Se1 Se 0.217 0.000 0.208
Se2 Se 0.247 0.324 0.213

Please write out number 6 again, unchanged.
# Ce2PbSe4, optimized geometry, DFT PBE
# M_tot: 8.03 Bohr magnetons per cell
# calculated volume: 30.45 A^3/atom
# energy relative to the lowest polymorph listed for this composition: 29 meV per atom
# uncorrected energy: -39.314 eV/f.u.
data_Ce2PbSe4
_chemical_formula_sum 'Ce8 Pb4 Se16'
_cell_length_a 4.232
_cell_length_b 13.977
_cell_length_c 14.413
_cell_angle_alpha 90.00
_cell_angle_beta 90.00
_cell_angle_gamma 90.00
_symmetry_space_group_name_H-M 'C m c m'
_symmetry_Int_Tables_number 63
_symmetry_space_group_name_Hall '-C 2c 2'
loop_
_atom_site_label
_atom_site_type_symbol
_atom_site_fract_x
_atom_site_fract_y
_atom_site_fract_z
Ce1 Ce 0.000 0.133 0.068
Pb1 Pb 0.000 0.389 0.250
Se1 Se 0.000 0.038 0.250
Se2 Se 0.000 0.230 0.616
Se3 Se 0.000 0.500 0.000

> Look up the uncorrected energy of the seventh one.

-53.682 eV/f.u.